Entry from Alexandria: a relaxed La3Tb3PrZn2 crystal (PBE).

a = 9.2486 Å, b = 9.2486 Å, c = 3.6662 Å
α = 90.00°, β = 90.00°, γ = 120.00°
Positions (direct):
La1 0.0000 0.6887 0.0000
La2 0.3113 0.3113 0.0000
La3 0.6887 0.0000 0.0000
Tb1 0.0000 0.3818 0.5000
Tb2 0.3818 0.0000 0.5000
Tb3 0.6182 0.6182 0.5000
Pr1 0.0000 0.0000 0.5000
Zn1 0.3333 0.6667 0.0000
Zn2 0.6667 0.3333 0.0000

Calculated values
ΔE_f in kJ per mole of atoms: 1
Space group: P-62m, No. 189